An optimized crystal structure of Ho6Bi2Ir, computed with PBE.

## Properties
M_tot   0.00 μB per formula unit
Fermi-level density of states   16.494 states/eV/cell
Energy relative to the elements   -0.5430 eV per atom

Lattice parameters (Å, degrees): 6.4687 7.9126 10.3601 90.00 92.27 90.00
Closest atoms and distances in Å follow each position.
Positions (direct):
Ho1 0.6307 0.4785 0.2511  1 Ir 2.71
Ho2 0.1307 0.0215 0.7511  1 Ir 2.71
Ho3 0.8596 0.6866 0.9607  1 Ir 2.80
Bi1 0.4028 0.1143 0.2528  8 Ho 3.16-3.50
Ir1 0.0000 0.0000 0.5000  6 Ho 2.71-2.80
Ho4 0.8615 0.6785 0.5417  1 Ir 2.74
Ho5 0.3615 0.8215 0.0417  1 Ir 2.74
Bi2 0.9028 0.3857 0.7528  8 Ho 3.16-3.50
Ho6 0.6385 0.1785 0.9583  1 Ir 2.74
Ho7 0.3693 0.5215 0.7489  1 Ir 2.71
Bi3 0.0972 0.6143 0.2472  8 Ho 3.16-3.50
Ho8 0.1404 0.3134 0.0393  1 Ir 2.80
Ir2 0.5000 0.5000 0.0000  6 Ho 2.71-2.80
Ho9 0.1385 0.3215 0.4583  1 Ir 2.74
Bi4 0.5972 0.8857 0.7472  8 Ho 3.16-3.50
Ho10 0.3596 0.8134 0.4607  1 Ir 2.80
Ho11 0.8693 0.9785 0.2489  1 Ir 2.71
Ho12 0.6404 0.1866 0.5393  1 Ir 2.80